Record 1
A plane-wave DFT calculation with SCAN was carried out for a PBEsol-optimized structure of Bi5O4F7.

Lattice parameters (Å, degrees): 5.636 11.629 14.406 90.00 101.28 90.00
Fractional positions:
Bi (0.535, 0.107, 0.701)
Bi (0.305, 0.396, 0.100)
F (0.411, 0.686, 0.512)
O (0.193, 0.491, 0.406)
O (0.001, 0.500, 0.000)
F (0.661, 0.815, 0.671)
O (0.869, 0.011, 0.796)
Bi (0.334, 0.607, 0.299)
Bi (0.068, 0.894, 0.705)
O (0.786, 0.509, 0.594)
Bi (0.035, 0.393, 0.701)
Bi (0.025, 0.614, 0.502)
F (0.962, 0.274, 0.819)
Bi (0.789, 0.610, 0.098)
Bi (0.363, 0.106, 0.295)
O (0.286, 0.991, 0.594)
F (0.139, 0.192, 0.652)
Bi (0.568, 0.606, 0.705)
F (0.986, 0.692, 0.348)
F (0.639, 0.308, 0.652)
O (0.369, 0.995, 0.798)
F (0.192, 0.981, 0.401)
O (0.073, 0.989, 0.204)
Bi (0.805, 0.104, 0.100)
F (0.436, 0.737, 0.008)
O (0.995, 0.000, 0.000)
Bi (0.705, 0.896, 0.900)
O (0.693, 0.009, 0.406)
Bi (0.525, 0.886, 0.502)
Bi (0.863, 0.394, 0.295)
F (0.718, 0.300, 0.158)
O (0.571, 0.005, 0.202)
F (0.490, 0.315, 0.329)
O (0.369, 0.489, 0.796)
Bi (0.191, 0.110, 0.902)
F (0.059, 0.800, 0.842)
F (0.218, 0.200, 0.158)
Bi (0.289, 0.890, 0.098)
F (0.291, 0.481, 0.599)
Bi (0.023, 0.114, 0.498)
O (0.869, 0.505, 0.798)
F (0.559, 0.700, 0.842)
F (0.791, 0.019, 0.599)
F (0.911, 0.814, 0.512)
F (0.429, 0.263, 0.992)
Bi (0.523, 0.386, 0.498)
F (0.486, 0.808, 0.348)
O (0.495, 0.500, 0.000)
O (0.573, 0.511, 0.204)
F (0.161, 0.685, 0.671)
F (0.929, 0.237, 0.992)
Bi (0.834, 0.893, 0.299)
F (0.692, 0.519, 0.401)
O (0.501, 0.000, 0.000)
F (0.462, 0.226, 0.819)
Bi (0.691, 0.390, 0.902)
O (0.071, 0.495, 0.202)
F (0.898, 0.314, 0.488)
F (0.398, 0.186, 0.488)
F (0.936, 0.763, 0.008)
F (0.143, 0.726, 0.181)
F (0.643, 0.774, 0.181)
F (0.990, 0.185, 0.329)
Bi (0.205, 0.604, 0.900)

Total DFT energy (no corrections) = -29.6014 eV per atom
Space group = Aea2

Record 2
A plane-wave DFT calculation with SCAN was carried out for a PBEsol-optimized structure of Bi6O5F8.

Lattice parameters (Å, degrees): 3.948 5.787 12.107 90.33 89.69 89.58
Fractional positions:
F (0.252, 0.419, 0.221)
F (0.259, 0.496, 0.927)
O (0.753, 0.989, 0.082)
O (0.247, 0.005, 0.599)
F (0.768, 0.472, 0.764)
F (0.755, 0.499, 0.084)
O (0.756, 0.985, 0.760)
F (0.238, 0.398, 0.496)
O (0.257, 0.982, 0.915)
Bi (0.256, 0.765, 0.074)
F (0.256, 0.965, 0.252)
O (0.740, 0.045, 0.420)
Bi (0.756, 0.202, 0.918)
Bi (0.266, 0.781, 0.750)
Bi (0.752, 0.231, 0.250)
Bi (0.756, 0.220, 0.584)
F (0.711, 0.679, 0.565)
F (0.744, 0.584, 0.343)
Bi (0.308, 0.784, 0.439)

Total DFT energy (no corrections) = -29.8495 eV per atom
Space group = P1
ΔE to the lowest computed polymorph = 0.010 eV per atom

Record 3
A plane-wave DFT calculation with SCAN was carried out for a PBEsol-optimized structure of Bi19O27F3.

Lattice parameters (Å, degrees): 10.334 12.773 12.773 120.00 90.00 90.00
Fractional positions:
Bi (0.419, 0.528, 0.392)
Bi (0.753, 0.525, 0.389)
O (0.084, 0.393, 0.453)
O (0.086, 0.122, 0.396)
O (0.424, 0.539, 0.940)
O (0.924, 0.461, 0.060)
O (0.586, 0.878, 0.604)
Bi (0.253, 0.136, 0.525)
O (0.248, 0.597, 0.537)
O (0.743, 0.837, 0.010)
O (0.087, 0.823, 0.013)
Bi (0.586, 0.483, 0.617)
O (0.748, 0.403, 0.463)
O (0.924, 0.599, 0.539)
Bi (0.415, 0.783, 0.710)
Bi (0.086, 0.866, 0.483)
Bi (0.586, 0.383, 0.866)
O (0.584, 0.453, 0.060)
Bi (0.084, 0.306, 0.070)
Bi (0.756, 0.774, 0.700)
F (0.415, 0.333, 0.667)
O (0.586, 0.396, 0.274)
Bi (0.253, 0.389, 0.864)
O (0.587, 0.013, 0.190)
O (0.243, 0.163, 0.990)
O (0.260, 0.727, 0.121)
Bi (0.419, 0.608, 0.136)
O (0.760, 0.606, 0.727)
F (0.753, 0.333, 0.667)
O (0.748, 0.060, 0.597)
O (0.924, 0.940, 0.401)
O (0.587, 0.177, 0.987)
O (0.425, 0.826, 0.008)
O (0.910, 0.392, 0.270)
O (0.425, 0.992, 0.818)
F (0.915, 0.667, 0.333)
O (0.260, 0.394, 0.273)
Bi (0.253, 0.475, 0.611)
O (0.584, 0.940, 0.393)
Bi (0.415, 0.290, 0.073)
O (0.925, 0.818, 0.826)
O (0.084, 0.547, 0.940)
O (0.248, 0.463, 0.060)
Bi (0.086, 0.517, 0.383)
O (0.087, 0.190, 0.177)
O (0.410, 0.608, 0.730)
O (0.584, 0.607, 0.547)
Bi (0.419, 0.864, 0.472)
O (0.910, 0.730, 0.122)
O (0.087, 0.987, 0.810)
O (0.925, 0.174, 0.992)
O (0.910, 0.878, 0.608)
Bi (0.256, 0.073, 0.774)
Bi (0.915, 0.217, 0.290)
F (0.253, 0.667, 0.333)
O (0.586, 0.726, 0.122)
O (0.086, 0.274, 0.878)
Bi (0.256, 0.226, 0.300)
O (0.260, 0.879, 0.606)
F (0.588, 0.667, 0.333)
O (0.243, 0.826, 0.837)
Bi (0.584, 0.070, 0.764)
Bi (0.919, 0.136, 0.528)
O (0.748, 0.537, 0.940)
Bi (0.915, 0.710, 0.927)
Bi (0.753, 0.611, 0.136)
Bi (0.256, 0.700, 0.927)
O (0.243, 0.010, 0.174)
Bi (0.919, 0.472, 0.608)
Bi (0.919, 0.392, 0.864)
O (0.424, 0.060, 0.599)
O (0.424, 0.401, 0.461)
O (0.760, 0.121, 0.394)
Bi (0.756, 0.300, 0.073)
Bi (0.084, 0.764, 0.694)
Bi (0.415, 0.927, 0.217)
Bi (0.756, 0.927, 0.226)
O (0.410, 0.122, 0.392)
O (0.410, 0.270, 0.878)
Bi (0.625, 0.000, 0.000)
O (0.760, 0.273, 0.879)
O (0.925, 0.008, 0.182)
Bi (0.584, 0.236, 0.306)
O (0.086, 0.604, 0.726)
O (0.743, 0.174, 0.163)
F (0.088, 0.333, 0.667)
Bi (0.915, 0.073, 0.783)
Bi (0.086, 0.617, 0.134)
O (0.743, 0.990, 0.826)
Bi (0.753, 0.864, 0.475)
O (0.425, 0.182, 0.174)
O (0.587, 0.810, 0.823)
Bi (0.084, 0.930, 0.236)
Bi (0.125, 0.000, 0.000)
Bi (0.584, 0.694, 0.930)
O (0.084, 0.060, 0.607)
O (0.248, 0.940, 0.403)
Bi (0.586, 0.134, 0.517)

Total DFT energy (no corrections) = -35.3452 eV per atom
Space group = P6_3

Record 4
A plane-wave DFT calculation with SCAN was carried out for a PBEsol-optimized structure of Bi7O6F9.

Lattice parameters (Å, degrees): 5.634 11.640 19.894 90.00 98.14 90.00
Fractional positions:
Bi (0.563, 0.892, 0.645)
Bi (0.383, 0.604, 0.214)
Bi (0.883, 0.896, 0.214)
O (0.998, 0.500, 0.000)
F (0.387, 0.767, 0.868)
F (0.533, 0.797, 0.744)
Bi (0.892, 0.396, 0.214)
Bi (0.543, 0.114, 0.500)
O (0.498, 0.500, 0.000)
O (0.591, 0.495, 0.145)
F (0.366, 0.272, 0.870)
O (0.998, 0.000, 0.000)
Bi (0.418, 0.392, 0.355)
O (0.296, 0.512, 0.567)
F (0.760, 0.702, 0.256)
F (0.517, 0.684, 0.381)
O (0.640, 0.488, 0.288)
Bi (0.918, 0.108, 0.355)
Bi (0.211, 0.108, 0.929)
O (0.796, 0.988, 0.567)
Bi (0.043, 0.386, 0.500)
O (0.947, 0.495, 0.856)
F (0.289, 0.297, 0.256)
Bi (0.063, 0.608, 0.645)
F (0.927, 0.686, 0.500)
Bi (0.711, 0.392, 0.929)
F (0.136, 0.316, 0.619)
O (0.352, 0.512, 0.712)
O (0.140, 0.507, 0.292)
Bi (0.178, 0.896, 0.786)
O (0.947, 0.995, 0.855)
O (0.848, 0.493, 0.708)
Bi (0.531, 0.396, 0.644)
Bi (0.387, 0.896, 0.356)
F (0.295, 0.015, 0.569)
F (0.866, 0.228, 0.870)
Bi (0.043, 0.886, 0.500)
O (0.091, 0.005, 0.145)
F (0.543, 0.188, 0.384)
Bi (0.281, 0.892, 0.071)
F (0.427, 0.814, 0.500)
F (0.537, 0.750, 0.000)
Bi (0.670, 0.104, 0.786)
F (0.996, 0.772, 0.130)
F (0.636, 0.184, 0.619)
F (0.225, 0.515, 0.431)
F (0.789, 0.203, 0.256)
F (0.496, 0.728, 0.130)
Bi (0.713, 0.891, 0.929)
O (0.498, 0.000, 0.000)
Bi (0.031, 0.104, 0.644)
O (0.447, 0.505, 0.855)
F (0.537, 0.250, 0.000)
F (0.159, 0.812, 0.616)
Bi (0.213, 0.609, 0.929)
F (0.725, 0.985, 0.431)
Bi (0.678, 0.604, 0.786)
F (0.043, 0.312, 0.384)
O (0.590, 0.995, 0.144)
F (0.004, 0.202, 0.744)
F (0.033, 0.703, 0.744)
F (0.927, 0.186, 0.500)
F (0.019, 0.267, 0.132)
F (0.037, 0.250, 0.000)
F (0.519, 0.233, 0.132)
Bi (0.170, 0.396, 0.786)
O (0.348, 0.007, 0.708)
F (0.017, 0.816, 0.381)
O (0.090, 0.505, 0.144)
O (0.852, 0.988, 0.712)
O (0.447, 0.005, 0.856)
F (0.795, 0.485, 0.569)
Bi (0.887, 0.604, 0.356)
O (0.729, 0.488, 0.433)
Bi (0.284, 0.391, 0.071)
Bi (0.784, 0.109, 0.071)
O (0.229, 0.012, 0.433)
F (0.260, 0.798, 0.256)
F (0.887, 0.733, 0.868)
Bi (0.543, 0.614, 0.500)
Bi (0.781, 0.608, 0.071)
O (0.640, 0.993, 0.292)
O (0.140, 0.012, 0.288)
F (0.427, 0.314, 0.500)
F (0.659, 0.688, 0.616)
F (0.037, 0.750, 0.000)
Bi (0.392, 0.104, 0.214)
F (0.504, 0.298, 0.744)

Total DFT energy (no corrections) = -30.0455 eV per atom
Space group = Aea2
ΔE to the lowest computed polymorph = 0.000 eV per atom

Record 5
A plane-wave DFT calculation with SCAN was carried out for a PBEsol-optimized structure of Bi2OF4.

Lattice parameters (Å, degrees): 5.636 5.716 7.006 101.75 113.72 90.00
Fractional positions:
F (0.727, 0.668, 0.569)
Bi (0.889, 0.084, 0.212)
F (0.548, 0.051, 0.845)
F (0.273, 0.332, 0.431)
F (0.452, 0.949, 0.155)
O (0.962, 0.750, 0.000)
F (0.298, 0.551, 0.845)
F (0.842, 0.168, 0.569)
F (0.702, 0.449, 0.155)
Bi (0.322, 0.584, 0.212)
Bi (0.111, 0.916, 0.788)
F (0.158, 0.832, 0.431)
Bi (0.678, 0.416, 0.788)
O (0.038, 0.250, 0.000)

Total DFT energy (no corrections) = -27.5222 eV per atom
Space group = C2/c